(1)
First-principles (PBE) data for a relaxed structure of WAuSe, as listed in Alexandria.

The structure in POSCAR format:
```
WAuSe
1.0
3.337 0.024 0.265
0.026 5.774 -0.784
-0.536 -1.496 6.760
Au Se W
2 2 2
direct
0.251 0.680 0.745 Au
0.749 0.320 0.255 Au
0.750 0.204 0.799 Se
0.250 0.796 0.201 Se
0.750 0.817 0.482 W
0.250 0.183 0.518 W
```

Energy relative to the lowest polymorph listed for this composition   0 meV per atom
Symmetry   No. 2
Electronic total energy   -0.477 Ry/atom
Magnetic moment   0.00 μB/f.u.
Uncorrected formation energy   0.08 eV/atom
N(E_F)   0.217 states/eV per atom

(2)
First-principles (PBE) data for a relaxed structure of ThMnTl2Te4, as listed in Alexandria.

The structure in POSCAR format:
```
ThMnTl2Te4
1.0
-1.791 -1.325 3.833
6.094 -4.234 1.383
1.424 7.818 3.369
Th Mn Tl Te
1 1 2 4
direct
0.500 0.500 0.000 Th
0.000 0.000 0.000 Mn
0.500 0.000 0.500 Tl
0.000 0.500 0.500 Tl
0.500 0.218 0.199 Te
0.500 0.782 0.801 Te
0.000 0.250 0.783 Te
0.000 0.750 0.217 Te
```

Symmetry   No. 10
Electronic total energy   -0.355 Ry/atom
Magnetic moment   5.00 μB/f.u.
Uncorrected formation energy   -0.59 eV/atom

(3)
First-principles (PBE) data for a relaxed structure of PtC5, as listed in Alexandria.

The structure in POSCAR format:
```
PtC5
1.0
2.717 -4.248 0.000
2.717 4.248 0.000
0.000 0.000 4.121
Pt C
1 5
direct
0.072 0.072 0.000 Pt
0.603 0.603 0.500 C
0.710 0.710 0.000 C
0.362 0.362 0.500 C
0.468 0.468 0.000 C
0.118 0.118 0.500 C
```

Energy relative to the lowest polymorph listed for this composition   1086 meV per atom
Symmetry   No. 38
Electronic total energy   -0.507 Ry/atom
ΔE_f   1.793 eV per atom
Magnetic moment   0.00 μB/f.u.
N(E_F)   0.096 states/eV per atom

(4)
First-principles (PBE) data for a relaxed structure of LiDy3Te8Pb3, as listed in Alexandria.

The structure in POSCAR format:
```
LiDy3Te8Pb3
1.0
-1.233 3.155 -8.178
-1.158 -8.621 1.639
-6.051 5.968 3.214
Li Dy Te Pb
1 3 8 3
direct
0.000 0.000 0.500 Li
0.500 0.000 0.500 Dy
0.500 0.500 0.500 Dy
0.000 0.500 0.500 Dy
0.255 0.510 0.264 Te
0.745 0.490 0.736 Te
0.757 0.514 0.272 Te
0.243 0.486 0.728 Te
0.757 0.015 0.271 Te
0.243 0.985 0.729 Te
0.258 0.015 0.271 Te
0.742 0.985 0.729 Te
0.000 0.000 0.000 Pb
0.000 0.500 0.000 Pb
0.500 0.500 0.000 Pb
```

Symmetry   No. 166
Electronic total energy   -0.319 Ry/atom
Magnetic moment   0.00 μB/f.u.
Uncorrected formation energy   -0.88 eV/atom

(5)
First-principles (PBE) data for a relaxed structure of Rb2Sc2Sn, as listed in Alexandria.

The structure in POSCAR format:
```
Rb2Sc2Sn
1.0
-7.501 0.516 1.318
0.439 -5.911 4.810
1.191 4.250 5.115
Sc Sn Rb
4 2 4
direct
0.355 0.855 0.000 Sc
0.855 0.645 0.000 Sc
0.645 0.145 0.000 Sc
0.145 0.355 0.000 Sc
0.000 0.000 0.000 Sn
0.500 0.500 0.000 Sn
0.192 0.692 0.500 Rb
0.692 0.808 0.500 Rb
0.808 0.308 0.500 Rb
0.308 0.192 0.500 Rb
```

Symmetry   No. 127
Electronic total energy   -0.255 Ry/atom
ΔE_f   0.251 eV per atom
Magnetic moment   1.83 μB/f.u.
N(E_F)   0.812 states/eV per atom

(6)
First-principles (PBE) data for a relaxed structure of NaSm2Ge3Pt4, as listed in Alexandria.

The structure in POSCAR format:
```
NaSm2Ge3Pt4
1.0
-3.170 2.306 1.730
-2.032 -3.612 1.091
5.097 -0.033 9.382
Na Sm Ge Pt
1 2 3 4
direct
0.500 0.500 0.500 Na
0.500 0.000 0.240 Sm
0.000 0.500 0.760 Sm
0.000 0.000 0.500 Ge
0.500 0.000 0.872 Ge
0.000 0.500 0.128 Ge
0.500 0.500 0.000 Pt
0.000 0.000 0.000 Pt
0.500 0.000 0.645 Pt
0.000 0.500 0.355 Pt
```

Symmetry   No. 115
Electronic total energy   -0.416 Ry/atom
ΔE_f   -0.789 eV per atom
Magnetic moment   0.00 μB/f.u.
N(E_F)   0.414 states/eV per atom

(7)
First-principles (PBE) data for a relaxed structure of Li3Cd3In2, as listed in Alexandria.

The structure in POSCAR format:
```
Li3Cd3In2
1.0
3.205 0.000 0.000
0.000 6.712 -3.875
0.000 0.000 7.750
Li Cd In
3 3 2
direct
0.500 0.376 0.376 Li
0.500 0.624 0.000 Li
0.500 0.000 0.624 Li
0.000 0.765 0.765 Cd
0.000 0.235 0.000 Cd
0.000 0.000 0.235 Cd
0.000 0.333 0.667 In
0.000 0.667 0.333 In
```

Energy relative to the lowest polymorph listed for this composition   0 meV per atom
Symmetry   No. 189
Electronic total energy   -0.142 Ry/atom
ΔE_f   -0.191 eV per atom
Magnetic moment   0.00 μB/f.u.
N(E_F)   0.300 states/eV per atom

(8)
First-principles (PBE) data for a relaxed structure of KRu2, as listed in Alexandria.

The structure in POSCAR format:
```
KRu2
1.0
4.476 0.000 0.001
0.000 4.168 0.000
-0.559 0.000 8.419
K Ru
2 4
direct
0.735 0.250 0.341 K
0.265 0.750 0.659 K
0.301 0.250 0.998 Ru
0.699 0.750 0.002 Ru
0.822 0.250 0.869 Ru
0.178 0.750 0.131 Ru
```

Symmetry   No. 11
Electronic total energy   -0.436 Ry/atom
ΔE_f   0.622 eV per atom
Magnetic moment   0.00 μB/f.u.
N(E_F)   0.776 states/eV per atom

(9)
First-principles (PBE) data for a relaxed structure of BaMnMo, as listed in Alexandria.

The structure in POSCAR format:
```
BaMnMo
1.0
5.048 0.000 0.000
2.524 4.372 0.000
2.524 1.457 4.122
Ba Mn Mo
1 1 1
direct
0.250 0.250 0.250 Ba
0.000 0.000 0.000 Mn
0.500 0.500 0.500 Mo
```

Energy relative to the lowest polymorph listed for this composition   1723 meV per atom
Symmetry   No. 216
Electronic total energy   -0.377 Ry/atom
ΔE_f   2.174 eV per atom
Magnetic moment   7.31 μB/f.u.
N(E_F)   0.516 states/eV per atom

(10)
First-principles (PBE) data for a relaxed structure of Si2RuPt, as listed in Alexandria.

The structure in POSCAR format:
```
Si2RuPt
1.0
-1.244 0.396 -3.966
-3.493 -0.490 -2.235
-1.757 4.582 0.061
Pt Ru Si
1 1 2
direct
0.750 0.750 0.750 Pt
0.250 0.250 0.250 Ru
0.995 0.995 0.021 Si
0.505 0.505 0.479 Si
```

Symmetry   No. 12
Electronic total energy   -0.511 Ry/atom
Magnetic moment   0.00 μB/f.u.
Uncorrected formation energy   -0.41 eV/atom
N(E_F)   0.532 states/eV per atom

(11)
First-principles (PBE) data for a relaxed structure of Ba2Sn3Pd6, as listed in Alexandria.

The structure in POSCAR format:
```
Ba2Sn3Pd6
1.0
-3.772 -1.538 -2.332
4.215 0.075 -6.867
-0.127 -6.630 4.577
Ba Sn Pd
2 3 6
direct
0.000 0.667 0.333 Ba
0.000 0.333 0.667 Ba
0.500 0.357 0.357 Sn
0.500 0.643 0.000 Sn
0.500 0.000 0.643 Sn
0.500 0.698 0.698 Pd
0.500 0.000 0.302 Pd
0.000 0.196 0.196 Pd
0.000 0.804 0.000 Pd
0.500 0.302 0.000 Pd
0.000 0.000 0.804 Pd
```

Symmetry   No. 189
Electronic total energy   -0.351 Ry/atom
ΔE_f   -0.499 eV per atom
Magnetic moment   0.00 μB/f.u.
N(E_F)   0.280 states/eV per atom

(12)
First-principles (PBE) data for a relaxed structure of SrLiTa, as listed in Alexandria.

The structure in POSCAR format:
```
SrLiTa
1.0
3.184 0.000 0.000
-1.592 2.758 0.000
0.000 0.000 8.259
Li Sr Ta
1 1 1
direct
0.000 0.000 0.970 Li
0.333 0.667 0.349 Sr
0.667 0.333 0.681 Ta
```

Energy relative to the lowest polymorph listed for this composition   473 meV per atom
Symmetry   No. 156
Electronic total energy   -0.316 Ry/atom
ΔE_f   0.846 eV per atom
Magnetic moment   0.00 μB/f.u.
N(E_F)   1.175 states/eV per atom

> The highest magnetic moment belongs to which entry?

BaMnMo

> What is the formula in the tenth record?

Si2RuPt

> Which value of electronic total energy does entry 4 give?

-0.319 Ry/atom

> Among the records above, which one has the lowest electronic total energy?

Si2RuPt